First-principles (PBE+U) data for a relaxed structure of K3TaNi2O6, as listed in Alexandria via LeMat-Bulk.

Computed properties:
DFT total energy	-5.924	eV/atom
total magnetic moment	4.00	μB/cell
crystal system	monoclinic

a b c (Å): 5.4783 5.4783 6.3456
angles (deg): 98.16 98.16 120.05
Fractional positions:
K1 0.0000 0.0000 0.0000
K2 0.3261 0.6739 0.0000
K3 0.6739 0.3261 0.0000
Ta1 0.5000 0.5000 0.5000
Ni1 0.1665 0.8335 0.5000
Ni2 0.8335 0.1665 0.5000
O1 0.1269 0.4401 0.3218
O2 0.2475 0.2475 0.6811
O3 0.4401 0.1269 0.3218
O4 0.5599 0.8731 0.6782
O5 0.7525 0.7525 0.3189
O6 0.8731 0.5599 0.6782